No. 1
Computed, not measured: a relaxed ZrReO2F crystal at the PBE-GGA level of DFT.

a = 3.722 Å, b = 3.722 Å, c = 5.839 Å
α = 90.00°, β = 90.00°, γ = 90.00°
Positions (direct):
Zr: 0.000 0.000 0.000
Re: 0.500 0.500 0.500
O: 0.000 0.500 0.500
O: 0.500 0.000 0.500
F: 0.500 0.500 0.000

- Formation energy without anion corrections: -891 meV per atom

***

No. 2
Computed, not measured: a relaxed CeGe3Au3 crystal at the PBE-GGA level of DFT.

a = 8.703 Å, b = 8.703 Å, c = 8.703 Å
α = 60.00°, β = 60.00°, γ = 60.00°
Positions (direct):
Ce: 0.250 0.250 0.250
Ce: 0.750 0.750 0.750
Ge: 0.150 0.150 0.850
Ge: 0.150 0.850 0.150
Ge: 0.150 0.850 0.850
Ge: 0.850 0.150 0.150
Ge: 0.850 0.150 0.850
Ge: 0.850 0.850 0.150
Au: 0.340 0.340 0.660
Au: 0.340 0.660 0.340
Au: 0.340 0.660 0.660
Au: 0.660 0.340 0.340
Au: 0.660 0.340 0.660
Au: 0.660 0.660 0.340

- Energy above the lowest structure with this stoichiometry: 524 meV/atom
- Calculated formation energy: 0.478 eV per atom

***

No. 3
Computed, not measured: a relaxed MnAlH2 crystal at the PBE-GGA level of DFT.

a = 3.645 Å, b = 3.645 Å, c = 3.645 Å
α = 60.00°, β = 60.00°, γ = 60.00°
Positions (direct):
Mn: 0.000 0.000 0.000
Al: 0.500 0.500 0.500
H: 0.250 0.250 0.250
H: 0.750 0.750 0.750

- Energy above the lowest structure with this stoichiometry: 480 meV/atom

***

No. 4
Computed, not measured: a relaxed LiMgBeAg crystal at the PBE-GGA level of DFT.

a = 4.359 Å, b = 4.359 Å, c = 4.359 Å
α = 60.00°, β = 60.00°, γ = 60.00°
Positions (direct):
Li: 0.000 0.000 0.000
Mg: 0.250 0.250 0.250
Be: 0.500 0.500 0.500
Ag: 0.750 0.750 0.750

- Calculated formation energy: 0.017 eV per atom

***

No. 5
Computed, not measured: a relaxed SrPtW crystal at the PBE-GGA level of DFT.

a = 4.275 Å, b = 4.275 Å, c = 10.046 Å
α = 90.00°, β = 90.00°, γ = 120.00°
Positions (direct):
Sr: 0.000 0.000 0.000
Sr: 0.000 0.000 0.500
Pt: 0.333 0.667 0.250
Pt: 0.667 0.333 0.750
W: 0.333 0.667 0.750
W: 0.667 0.333 0.250

- Energy above the lowest structure with this stoichiometry: 242 meV/atom
- Calculated formation energy: 0.214 eV per atom

***

No. 6
Computed, not measured: a relaxed BRhW2Au crystal at the PBE-GGA level of DFT.

a = 4.221 Å, b = 4.221 Å, c = 4.175 Å
α = 90.00°, β = 90.00°, γ = 90.00°
Positions (direct):
B: 0.000 0.000 0.000
Rh: 0.500 0.500 0.500
W: 0.000 0.500 0.000
W: 0.500 0.000 0.000
Au: 0.000 0.000 0.500

- Calculated formation energy: 0.508 eV per atom

***

No. 7
Computed, not measured: a relaxed CeTh4Se6 crystal at the PBE-GGA level of DFT.

a = 7.301 Å, b = 7.301 Å, c = 21.054 Å
α = 90.00°, β = 90.00°, γ = 147.53°
Positions (direct):
Ce: 0.163 0.837 0.750
Ce: 0.837 0.163 0.250
Th: 0.089 0.911 0.124
Th: 0.089 0.911 0.376
Th: 0.357 0.643 0.036
Th: 0.357 0.643 0.464
Th: 0.643 0.357 0.536
Th: 0.643 0.357 0.964
Th: 0.911 0.089 0.624
Th: 0.911 0.089 0.876
Se: 0.000 0.000 0.000
Se: 0.000 0.000 0.500
Se: 0.181 0.819 0.250
Se: 0.264 0.736 0.599
Se: 0.264 0.736 0.901
Se: 0.446 0.554 0.167
Se: 0.446 0.554 0.333
Se: 0.554 0.446 0.667
Se: 0.554 0.446 0.833
Se: 0.736 0.264 0.099
Se: 0.736 0.264 0.401
Se: 0.819 0.181 0.750

- Formation energy without anion corrections: -1642 meV per atom

***

No. 8
Computed, not measured: a relaxed Co2AsPb crystal at the PBE-GGA level of DFT.

a = 3.052 Å, b = 3.052 Å, c = 6.825 Å
α = 90.00°, β = 90.00°, γ = 90.00°
Positions (direct):
Co: 0.000 0.000 0.185
Co: 0.000 0.000 0.815
As: 0.500 0.500 0.000
Pb: 0.500 0.500 0.500

- Energy above the lowest structure with this stoichiometry: 166 meV/atom
- Calculated formation energy: 0.280 eV per atom

***

No. 9
Computed, not measured: a relaxed B5C7 crystal at the PBE-GGA level of DFT.

a = 3.638 Å, b = 4.695 Å, c = 5.377 Å
α = 107.86°, β = 93.23°, γ = 112.46°
Positions (direct):
B: 0.000 0.000 0.000
B: 0.020 0.922 0.485
B: 0.392 0.709 0.671
B: 0.518 0.611 0.927
B: 0.918 0.371 0.637
C: 0.256 0.981 0.253
C: 0.259 0.018 0.767
C: 0.310 0.636 0.185
C: 0.582 0.636 0.412
C: 0.664 0.312 0.340
C: 0.666 0.308 0.858
C: 0.904 0.328 0.107

- Energy above the lowest structure with this stoichiometry: 128 meV/atom
- Calculated formation energy: 0.386 eV per atom

***

No. 10
Computed, not measured: a relaxed NdDy6Cd2 crystal at the PBE-GGA level of DFT.

a = 6.597 Å, b = 6.597 Å, c = 11.913 Å
α = 107.46°, β = 107.46°, γ = 33.01°
Positions (direct):
Nd: 0.000 0.000 0.000
Dy: 0.015 0.015 0.342
Dy: 0.313 0.313 0.417
Dy: 0.315 0.315 0.124
Dy: 0.685 0.685 0.876
Dy: 0.687 0.687 0.583
Dy: 0.985 0.985 0.658
Cd: 0.350 0.350 0.784
Cd: 0.650 0.650 0.216

- Calculated formation energy: -0.127 eV per atom

***

No. 11
Computed, not measured: a relaxed TaZn3Co4 crystal at the PBE-GGA level of DFT.

a = 6.514 Å, b = 6.514 Å, c = 6.514 Å
α = 143.12°, β = 143.12°, γ = 53.14°
Positions (direct):
Ta: 0.000 0.000 0.000
Zn: 0.252 0.252 0.000
Zn: 0.500 0.500 0.000
Zn: 0.748 0.748 0.000
Co: 0.127 0.627 0.500
Co: 0.373 0.873 0.500
Co: 0.627 0.127 0.500
Co: 0.873 0.373 0.500

- Calculated formation energy: -0.135 eV per atom

***

No. 12
Computed, not measured: a relaxed LiSi2Pt crystal at the PBE-GGA level of DFT.

a = 4.633 Å, b = 4.633 Å, c = 4.633 Å
α = 131.62°, β = 131.62°, γ = 70.83°
Positions (direct):
Li: 0.000 0.000 0.000
Si: 0.250 0.750 0.500
Si: 0.500 0.500 0.000
Pt: 0.750 0.250 0.500

- Formation energy without anion corrections: -307 meV per atom
- Energy above the lowest structure with this stoichiometry: 180 meV/atom

***

| no. | mass density (g/cm3) | total magnetization (Bohr magnetons per cell) |
| --- | --- | --- |
| 1 | 6.74 | 1.8 |
| 2 | 6.76 | 3.8 |
| 3 | 4.07 | 2.8 |
| 4 | 4.20 | 0.0 |
| 5 | 9.75 | 0.0 |
| 6 | 15.15 | 0.0 |
| 7 | 8.50 | 2.5 |
| 8 | 10.45 | 1.4 |
| 9 | 2.90 | 0.0 |
| 10 | 8.32 | 0.0 |
| 11 | 10.29 | 0.0 |
| 12 | 7.88 | 0.0 |